Mn2GeO4 | PBE+U | optimized geometry

```
Mn2GeO4
1.0
10.8935 0.0000 0.0000
0.0000 6.3898 0.0000
0.0000 0.0000 5.1230
Mn Ge O
8 4 16
direct
0.0000 0.0000 0.0000
0.0000 0.5000 0.0000
0.2214 0.2500 0.4913
0.2786 0.7500 0.9913
0.5000 0.0000 0.5000
0.5000 0.5000 0.5000
0.7214 0.2500 0.0087
0.7786 0.7500 0.5087
0.0961 0.7500 0.4345
0.4039 0.2500 0.9345
0.5961 0.7500 0.0655
0.9039 0.2500 0.5655
0.0537 0.2500 0.7202
0.0939 0.7500 0.7784
0.1645 0.5299 0.2744
0.1645 0.9701 0.2744
0.3355 0.0299 0.7744
0.3355 0.4701 0.7744
0.4061 0.2500 0.2784
0.4463 0.7500 0.2202
0.5537 0.2500 0.7798
0.5939 0.7500 0.7216
0.6645 0.5299 0.2256
0.6645 0.9701 0.2256
0.8355 0.0299 0.7256
0.8355 0.4701 0.7256
0.9061 0.2500 0.2216
0.9463 0.7500 0.2798
```

Energy above the lowest structure with this stoichiometry   0 meV/atom